Entry P
Computed, not measured: crystalline BeOsSe2N at its relaxed geometry at the GGA-PBE level of DFT.

a = 5.090 Å, b = 5.090 Å, c = 3.646 Å
α = 90.00°, β = 90.00°, γ = 90.00°
Space group P4/mmm (No. 123)
Symmetry-distinct sites (fractional):
Be  0.000  0.000  0.000 [1 per cell]
Os  0.500  0.500  0.500 [1 per cell]
Se  0.000  0.500  0.500 [2 per cell]
N  0.500  0.500  0.000 [1 per cell]

- density of states at the Fermi level (states/eV/f.u.) = 3.96

***

Entry Q
Computed, not measured: crystalline BeOsSe2N at its relaxed geometry at the GGA-PBE level of DFT.

a = 4.796 Å, b = 4.796 Å, c = 3.018 Å
α = 90.00°, β = 90.00°, γ = 90.00°
Space group P4/mmm (No. 123)
Symmetry-distinct sites (fractional):
Be  0.000  0.000  0.000 [1 per cell]
Os  0.500  0.500  0.500 [1 per cell]
Se  0.000  0.500  0.000 [2 per cell]
N  0.000  0.000  0.500 [1 per cell]

- density of states at the Fermi level (states/eV/f.u.) = 4.37

***

Energies in meV/atom, measured from the most stable structure: entry P 0; entry Q 123.

***

Entry P
Computed, not measured: crystalline BeTe2OsN at its relaxed geometry at the GGA-PBE level of DFT.

a = 5.149 Å, b = 5.149 Å, c = 3.061 Å
α = 90.00°, β = 90.00°, γ = 90.00°
Space group P4/mmm (No. 123)
Symmetry-distinct sites (fractional):
Be  0.000  0.000  0.000 [1 per cell]
Te  0.000  0.500  0.000 [2 per cell]
Os  0.500  0.500  0.500 [1 per cell]
N  0.000  0.000  0.500 [1 per cell]

- density of states at the Fermi level (states/eV/f.u.) = 2.64

***

Entry Q
Computed, not measured: crystalline BeTe2OsN at its relaxed geometry at the GGA-PBE level of DFT.

a = 5.445 Å, b = 5.445 Å, c = 3.649 Å
α = 90.00°, β = 90.00°, γ = 90.00°
Space group P4/mmm (No. 123)
Symmetry-distinct sites (fractional):
Be  0.000  0.000  0.000 [1 per cell]
Te  0.000  0.500  0.500 [2 per cell]
Os  0.500  0.500  0.500 [1 per cell]
N  0.500  0.500  0.000 [1 per cell]

- density of states at the Fermi level (states/eV/f.u.) = 2.74

***

Energies in meV/atom, measured from the most stable structure: entry P 106; entry Q 0.

***

Entry P
Computed, not measured: crystalline BeP3N at its relaxed geometry at the GGA-PBE level of DFT.

a = 4.105 Å, b = 4.105 Å, c = 4.105 Å
α = 90.00°, β = 90.00°, γ = 90.00°
Space group Pm-3m (No. 221)
Symmetry-distinct sites (fractional):
Be  0.000  0.000  0.000 [1 per cell]
P  0.000  0.000  0.500 [3 per cell]
N  0.500  0.500  0.500 [1 per cell]

- density of states at the Fermi level (states/eV/f.u.) = 4.47

***

Entry Q
Computed, not measured: crystalline BeP3N at its relaxed geometry at the GGA-PBE level of DFT.

a = 3.999 Å, b = 3.999 Å, c = 3.999 Å
α = 90.00°, β = 90.00°, γ = 90.00°
Space group Pm-3m (No. 221)
Symmetry-distinct sites (fractional):
Be  0.000  0.000  0.000 [1 per cell]
P  0.000  0.500  0.500 [3 per cell]
N  0.500  0.500  0.500 [1 per cell]

- density of states at the Fermi level (states/eV/f.u.) = 3.53

***

Energies in meV/atom, measured from the most stable structure: entry P 531; entry Q 0.

***

Entry P
Computed, not measured: crystalline BeP2N4 at its relaxed geometry at the GGA-PBE level of DFT.

a = 3.887 Å, b = 3.887 Å, c = 4.133 Å
α = 90.00°, β = 90.00°, γ = 90.00°
Space group P-42m (No. 111)
Symmetry-distinct sites (fractional):
Be  0.000  0.000  0.000 [1 per cell]
P  0.000  0.500  0.500 [2 per cell]
N  0.246  0.246  0.272 [4 per cell]

- density of states at the Fermi level (states/eV/f.u.) = 0.00

***

Entry Q
Computed, not measured: crystalline BeP2N4 at its relaxed geometry at the GGA-PBE level of DFT.

a = 12.7744 Å, b = 12.7744 Å, c = 8.3899 Å
α = 90.00°, β = 90.00°, γ = 120.00°
Space group R-3 (No. 148, hexagonal axes)
Symmetry-distinct sites (fractional):
Be  0.0181  0.2116  0.2498 [18 per cell]
P  0.0133  0.2095  0.9172 [18 per cell]
P  0.0185  0.2128  0.5828 [18 per cell]
N  0.0008  0.6632  0.7508 [18 per cell]
N  0.0805  0.2040  0.7516 [18 per cell]
N  0.0893  0.2114  0.0750 [18 per cell]
N  0.0943  0.2123  0.4250 [18 per cell]

- density of states at the Fermi level (states/eV/f.u.) = 0.00

***

Energies in meV/atom, measured from the most stable structure: entry P 231; entry Q 0.

***

Entry P
Computed, not measured: crystalline BePN2 at its relaxed geometry at the GGA-PBE level of DFT.

a = 2.7385 Å, b = 2.7385 Å, c = 15.6278 Å
α = 90.00°, β = 90.00°, γ = 120.00°
Space group R-3m (No. 166, hexagonal axes)
Symmetry-distinct sites (fractional):
Be  0.0000  0.0000  0.0000 [3 per cell]
P  0.0000  0.0000  0.5000 [3 per cell]
N  0.0000  0.0000  0.1046 [6 per cell]

- density of states at the Fermi level (states/eV/f.u.) = 1.65

***

Entry Q
Computed, not measured: crystalline BePN2 at its relaxed geometry at the GGA-PBE level of DFT.

a = 4.043 Å, b = 4.043 Å, c = 7.981 Å
α = 90.00°, β = 90.00°, γ = 90.00°
Space group I-42d (No. 122)
Symmetry-distinct sites (fractional):
Be  0.000  0.000  0.000 [4 per cell]
P  0.000  0.000  0.500 [4 per cell]
N  0.242  0.250  0.625 [8 per cell]

- density of states at the Fermi level (states/eV/f.u.) = 1.27

***

Energies in meV/atom, measured from the most stable structure: entry P 227; entry Q 0.

***

Entry P
Computed, not measured: crystalline BeP2SN at its relaxed geometry at the GGA-PBE level of DFT.

a = 4.254 Å, b = 4.254 Å, c = 4.043 Å
α = 90.00°, β = 90.00°, γ = 90.00°
Space group P4/mmm (No. 123)
Symmetry-distinct sites (fractional):
Be  0.000  0.000  0.000 [1 per cell]
P  0.000  0.500  0.000 [2 per cell]
S  0.000  0.000  0.500 [1 per cell]
N  0.500  0.500  0.500 [1 per cell]

- density of states at the Fermi level (states/eV/f.u.) = 3.18

***

Entry Q
Computed, not measured: crystalline BeP2SN at its relaxed geometry at the GGA-PBE level of DFT.

a = 3.944 Å, b = 3.944 Å, c = 4.214 Å
α = 90.00°, β = 90.00°, γ = 90.00°
Space group P4/mmm (No. 123)
Symmetry-distinct sites (fractional):
Be  0.000  0.000  0.000 [1 per cell]
P  0.000  0.500  0.500 [2 per cell]
S  0.500  0.500  0.000 [1 per cell]
N  0.500  0.500  0.500 [1 per cell]

- density of states at the Fermi level (states/eV/f.u.) = 3.06

***

Energies in meV/atom, measured from the most stable structure: entry P 407; entry Q 0.

***

Entry P
Computed, not measured: crystalline BePSe2N at its relaxed geometry at the GGA-PBE level of DFT.

a = 4.983 Å, b = 4.983 Å, c = 3.214 Å
α = 90.00°, β = 90.00°, γ = 90.00°
Space group P4/mmm (No. 123)
Symmetry-distinct sites (fractional):
Be  0.000  0.000  0.000 [1 per cell]
P  0.500  0.500  0.500 [1 per cell]
Se  0.000  0.500  0.500 [2 per cell]
N  0.500  0.500  0.000 [1 per cell]

- density of states at the Fermi level (states/eV/f.u.) = 1.67

***

Entry Q
Computed, not measured: crystalline BePSe2N at its relaxed geometry at the GGA-PBE level of DFT.

a = 4.885 Å, b = 4.885 Å, c = 3.134 Å
α = 90.00°, β = 90.00°, γ = 90.00°
Space group P4/mmm (No. 123)
Symmetry-distinct sites (fractional):
Be  0.000  0.000  0.000 [1 per cell]
P  0.500  0.500  0.500 [1 per cell]
Se  0.000  0.500  0.000 [2 per cell]
N  0.000  0.000  0.500 [1 per cell]

- density of states at the Fermi level (states/eV/f.u.) = 4.44

***

Energies in meV/atom, measured from the most stable structure: entry P 53; entry Q 0.

***

Entry P
Computed, not measured: crystalline BeTePN2 at its relaxed geometry at the GGA-PBE level of DFT.

a = 3.558 Å, b = 3.558 Å, c = 6.972 Å
α = 90.00°, β = 90.00°, γ = 90.00°
Space group P4/mmm (No. 123)
Symmetry-distinct sites (fractional):
Be  0.000  0.000  0.000 [1 per cell]
Te  0.000  0.000  0.500 [1 per cell]
P  0.500  0.500  0.500 [1 per cell]
N  0.000  0.500  0.000 [2 per cell]

- density of states at the Fermi level (states/eV/f.u.) = 2.68

***

Entry Q
Computed, not measured: crystalline BeTePN2 at its relaxed geometry at the GGA-PBE level of DFT.

a = 3.395 Å, b = 3.395 Å, c = 7.020 Å
α = 90.00°, β = 90.00°, γ = 90.00°
Space group P4/mmm (No. 123)
Symmetry-distinct sites (fractional):
Be  0.000  0.000  0.000 [1 per cell]
Te  0.500  0.500  0.000 [1 per cell]
P  0.500  0.500  0.500 [1 per cell]
N  0.000  0.500  0.500 [2 per cell]

- density of states at the Fermi level (states/eV/f.u.) = 1.44

***

Energies in meV/atom, measured from the most stable structure: entry P 510; entry Q 0.